# 1
# CaCo2Ag

An optimized crystal structure of CaCo2Ag (PBE, Alexandria).

Properties
D(E_F), states/eV per atom: 1.03
SG: No. 119
Size of the total moment, μB/cell: 2.9
Energy of formation from the pure elements, meV per atom: 433.1

Cell and atoms, written as POSCAR:
```
CaCo2Ag
1.0
-2.086 2.086 3.835
2.086 -2.086 3.835
2.086 2.086 -3.835
Ca Co Ag
1 2 1
Direct
0.000 0.000 0.000
0.250 0.750 0.500
0.500 0.500 0.000
0.750 0.250 0.500
```


# 2
# YTcOs2

An optimized crystal structure of YTcOs2 (PBE, Alexandria).

Properties
D(E_F), states/eV per atom: 1.53
SG: No. 119
Size of the total moment, μB/cell: 0.0
Energy of formation from the pure elements, meV per atom: 465.3

Cell and atoms, written as POSCAR:
```
YTcOs2
1.0
-2.032 2.032 4.092
2.032 -2.032 4.092
2.032 2.032 -4.092
Y Tc Os
1 1 2
Direct
0.000 0.000 0.000
0.750 0.250 0.500
0.250 0.750 0.500
0.500 0.500 0.000
```